Record 1
This record from the Alexandria database describes crystalline CsTbCuO2 at its relaxed geometry. The functional is PBE.

Lattice parameters (Å, degrees): 4.9234 6.7475 6.8627 97.25 90.00 90.00
Last column: nearest neighbours and their distance in Å.
Sites, in units of the cell vectors:
Tb (0.5080, 0.0000, 0.7500)  4 O 2.25-2.26
Tb (0.4920, 0.0000, 0.2500)  4 O 2.25-2.26
Cs (0.1486, 0.5000, 0.7500)  4 O 3.15-3.43
Cs (0.8514, 0.5000, 0.2500)  4 O 3.15-3.43
Cu (0.0000, 0.0000, 0.5000)  2 O 1.98
Cu (0.0000, 0.0000, 0.0000)  2 O 1.98
O (0.3231, 0.8235, 0.4803)  1 Cu 1.98
O (0.6769, 0.8235, 0.9803)  1 Cu 1.98
O (0.3231, 0.1765, 0.0197)  1 Cu 1.98
O (0.6769, 0.1765, 0.5197)  1 Cu 1.98

* formation energy (no corrections): -1.634 eV per atom
* volume: 226.16 Å³ per cell
* electronic total energy: -27.7 eV/f.u.
* space-group type: P2/c (13)

Record 2
This record from the Alexandria database describes crystalline CsTbCuO3 at its relaxed geometry. The functional is PBE.

Lattice parameters (Å, degrees): 3.6643 7.9905 8.9780 111.45 90.00 90.00
Last column: nearest neighbours and their distance in Å.
Sites, in units of the cell vectors:
O (0.2500, 0.8789, 0.4052)  3 Cu 1.96-1.97
O (0.7500, 0.8552, 0.1416)  1 Cu 1.93
O (0.7500, 0.4790, 0.1272)  3 Tb 2.23-2.35
O (0.7500, 0.1211, 0.5948)  3 Cu 1.96-1.97
O (0.2500, 0.5210, 0.8728)  3 Tb 2.23-2.35
O (0.2500, 0.1448, 0.8584)  1 Cu 1.93
Tb (0.2500, 0.6675, 0.1378)  6 O 2.23-2.38
Tb (0.7500, 0.3325, 0.8622)  6 O 2.23-2.38
Cs (0.2500, 0.2116, 0.2116)  5 O 3.02-3.25
Cs (0.7500, 0.7884, 0.7884)  5 O 3.02-3.25
Cu (0.7500, 0.9475, 0.3731)  4 O 1.93-1.97
Cu (0.2500, 0.0525, 0.6269)  4 O 1.93-1.97

* formation energy (no corrections): -1.935 eV per atom
* volume: 244.67 Å³ per cell
* electronic total energy: -36.1 eV/f.u.
* space-group type: P2_1/m (11)